This record from Alexandria describes an optimized crystal structure of KPmHgSb. The functional is GGA-PBE.

Unit cell a=5.560 b=5.560 c=5.560 alpha=60.00 beta=60.00 gamma=60.00
Positions (direct):
Pm  0.250  0.250  0.250
Sb  0.000  0.000  0.000
K  0.750  0.750  0.750
Hg  0.500  0.500  0.500

## Properties
**Space group**: F-43m, No. 216
**Formation energy (no corrections)**: -39.8 kJ/mol of atoms
**D(E_F)**: 4.03 states/eV per cell
**Calculated volume**: 30.381 Å³/atom
**Electronic total energy**: -2.98 eV per atom